Record 1
Entry from Alexandria: an optimized crystal structure of FeReMoC2 (GGA-PBE).

Crystal system: tetragonal
Volume, Å³ per cell: 74.2
Total energy, eV per atom: -8.178
Fermi-level density of states, states/eV/cell: 5.189
Formation energy, eV per atom: 1.860

Cell lengths 3.950, 3.950, 4.757 Å; angles 90.00, 90.00, 90.00 degrees
Fractional coordinates of all 5 atoms:
1 Fe 0.000 0.000 0.000
2 Re 0.000 0.000 0.500
3 Mo 0.500 0.500 0.000
4 C 0.000 0.500 0.500
5 C 0.500 0.000 0.500


Record 2
Entry from Alexandria: an optimized crystal structure of FeMo2RhC (GGA-PBE).

Crystal system: tetragonal
Volume, Å³ per cell: 64.8
Total energy, eV per atom: -9.266
Fermi-level density of states, states/eV/cell: 4.239
Formation energy, eV per atom: 0.074

Cell lengths 4.142, 4.142, 3.779 Å; angles 90.00, 90.00, 90.00 degrees
Fractional coordinates of all 5 atoms:
1 Fe 0.000 0.000 0.000
2 Mo 0.000 0.500 0.500
3 Mo 0.500 0.000 0.500
4 Rh 0.500 0.500 0.000
5 C 0.000 0.000 0.500


Record 3
Entry from Alexandria: an optimized crystal structure of Fe2SnMoC (GGA-PBE).

Crystal system: tetragonal
Volume, Å³ per cell: 104.0
Total energy, eV per atom: -5.749
Fermi-level density of states, states/eV/cell: 6.589
Formation energy, eV per atom: 2.448
Excess energy over the best structure of this formula in the dataset, meV per atom: 2378

Cell lengths 4.962, 4.962, 4.223 Å; angles 90.00, 90.00, 90.00 degrees
Fractional coordinates of all 5 atoms:
1 Fe 0.000 0.500 0.000
2 Fe 0.500 0.000 0.000
3 Sn 0.000 0.000 0.000
4 Mo 0.500 0.500 0.500
5 C 0.000 0.000 0.500


Record 4
Entry from Alexandria: an optimized crystal structure of Fe2SnMoC (GGA-PBE).

Crystal system: tetragonal
Volume, Å³ per cell: 65.4
Total energy, eV per atom: -8.126
Fermi-level density of states, states/eV/cell: 2.874
Formation energy, eV per atom: 0.070
Excess energy over the best structure of this formula in the dataset, meV per atom: 0

Cell lengths 3.959, 3.959, 4.171 Å; angles 90.00, 90.00, 90.00 degrees
Fractional coordinates of all 5 atoms:
1 Fe 0.000 0.500 0.000
2 Fe 0.500 0.000 0.000
3 Sn 0.000 0.000 0.500
4 Mo 0.500 0.500 0.500
5 C 0.500 0.500 0.000


Record 5
Entry from Alexandria: an optimized crystal structure of FeTc2MoC (GGA-PBE).

Crystal system: tetragonal
Volume, Å³ per cell: 62.4
Total energy, eV per atom: -9.755
Fermi-level density of states, states/eV/cell: 2.477
Formation energy, eV per atom: 0.095

Cell lengths 4.065, 4.065, 3.779 Å; angles 90.00, 90.00, 90.00 degrees
Fractional coordinates of all 5 atoms:
1 Fe 0.000 0.000 0.000
2 Tc 0.000 0.500 0.500
3 Tc 0.500 0.000 0.500
4 Mo 0.500 0.500 0.000
5 C 0.000 0.000 0.500


Record 6
Entry from Alexandria: an optimized crystal structure of FeMoW2C (GGA-PBE).

Crystal system: tetragonal
Volume, Å³ per cell: 74.2
Total energy, eV per atom: -9.490
Fermi-level density of states, states/eV/cell: 5.314
Formation energy, eV per atom: 1.395

Cell lengths 4.628, 4.628, 3.462 Å; angles 90.00, 90.00, 90.00 degrees
Fractional coordinates of all 5 atoms:
1 Fe 0.000 0.000 0.000
2 Mo 0.500 0.500 0.500
3 W 0.000 0.500 0.000
4 W 0.500 0.000 0.000
5 C 0.000 0.000 0.500


Record 7
Entry from Alexandria: an optimized crystal structure of FeC2N (GGA-PBE).

Energy relative to the elements, uncorrected, eV/atom: 1.046
Crystal system: tetragonal
Volume, Å³ per cell: 117.8
Total energy, eV per atom: -7.763
Fermi-level density of states, states/eV/cell: 6.678

Cell lengths 4.259, 4.259, 6.494 Å; angles 90.00, 90.00, 90.00 degrees
Fractional coordinates of all 16 atoms:
1 Fe 0.000 0.000 0.000
2 Fe 0.000 0.500 0.250
3 Fe 0.500 0.000 0.750
4 Fe 0.500 0.500 0.500
5 C 0.178 0.250 0.625
6 C 0.250 0.678 0.875
7 C 0.250 0.822 0.375
8 C 0.322 0.250 0.125
9 C 0.678 0.750 0.125
10 C 0.750 0.178 0.375
11 C 0.750 0.322 0.875
12 C 0.822 0.750 0.625
13 N 0.000 0.000 0.500
14 N 0.000 0.500 0.750
15 N 0.500 0.000 0.250
16 N 0.500 0.500 0.000


Record 8
Entry from Alexandria: an optimized crystal structure of Fe6CN (GGA-PBE).

Energy relative to the elements, uncorrected, eV/atom: -0.001
Crystal system: trigonal
Volume, Å³ per cell: 81.0
Total energy, eV per atom: -8.541
Fermi-level density of states, states/eV/cell: 8.097

Cell lengths 5.090, 5.090, 5.090 Å; angles 54.37, 54.37, 54.37 degrees
Fractional coordinates of all 8 atoms:
1 Fe 0.075 0.751 0.425
2 Fe 0.249 0.575 0.925
3 Fe 0.425 0.075 0.751
4 Fe 0.575 0.925 0.249
5 Fe 0.751 0.425 0.075
6 Fe 0.925 0.249 0.575
7 C 0.000 0.000 0.000
8 N 0.500 0.500 0.500